(1)
Density functional theory data (PBE) for a relaxed structure of Pu3S3N.

The structure belongs to space group C2/m (No. 12); the cell edges are 7.637, 11.632 and 6.793 Å and the angles 90.00°, 99.26° and 90.00°. The distinct sites, in fractional coordinates, are Pu at (0.106, 0.000, 0.300), Pu at (0.191, 0.344, 0.228), S at (0.000, 0.166, 0.000), S at (0.000, 0.237, 0.500), S at (0.091, 0.500, 0.834) and N at (0.178, 0.000, 0.642).

The calculation puts the calculated volume at 595.6 Å³/cell. The calculation puts the energy relative to the elements, uncorrected at -1.533 eV/atom. Its energy relative to the lowest polymorph listed for this composition is 0.0 meV per atom. As for the total magnetic moment: 60.00 μB/cell.

---

(2)
Density functional theory data (PBE) for a relaxed structure of Hg2IrRu.

The structure belongs to space group Imm2 (No. 44); the cell edges are 2.854, 4.840 and 10.721 Å and the angles 90.00°, 90.00° and 90.00°. The distinct sites, in fractional coordinates, are Hg at (0.000, 0.000, 0.000), Hg at (0.000, 0.500, 0.205), Ir at (0.000, 0.500, 0.757) and Ru at (0.000, 0.000, 0.453).

The calculation puts the calculated volume at 148.1 Å³/cell. As for the formation energy: 0.55 eV per atom. Its energy relative to the lowest polymorph listed for this composition is 246.4 meV per atom. As for the total magnetic moment: 1.91 μB/cell.